Entry 1:
# GGA-PBE HfGaTe6, relaxed
# D(E_F)   0.46 states/eV per atom
# E_form (uncorrected)   -20.2 kJ/mol of atoms
data_HfGaTe6
_chemical_formula_sum 'Hf1 Ga1 Te6'
_symmetry_space_group_name_H-M 'P -1'
_symmetry_Int_Tables_number 2
_cell_length_a 6.799
_cell_length_b 6.908
_cell_length_c 6.962
_cell_angle_alpha 64.14
_cell_angle_beta 64.24
_cell_angle_gamma 86.61
loop_
_symmetry_equiv_pos_as_xyz
'x,y,z'
'-x,-y,-z'
loop_
_atom_site_label
_atom_site_type_symbol
_atom_site_fract_x
_atom_site_fract_y
_atom_site_fract_z
Hf1 Hf 0.000 0.000 0.000
Ga1 Ga 0.500 0.500 0.000
Te1 Te 0.172 0.442 0.842
Te2 Te 0.304 0.100 0.517
Te3 Te 0.313 0.821 0.174

***

Entry 2:
# GGA-PBE Mg3Si4, relaxed
# D(E_F)   0.27 states/eV per atom
# E_form (uncorrected)   9.7 kJ/mol of atoms
data_Mg3Si4
_chemical_formula_sum 'Mg6 Si8'
_symmetry_space_group_name_H-M 'P 1'
_symmetry_Int_Tables_number 1
_cell_length_a 3.605
_cell_length_b 7.671
_cell_length_c 10.619
_cell_angle_alpha 68.98
_cell_angle_beta 80.34
_cell_angle_gamma 89.94
loop_
_symmetry_equiv_pos_as_xyz
'x,y,z'
loop_
_atom_site_label
_atom_site_type_symbol
_atom_site_fract_x
_atom_site_fract_y
_atom_site_fract_z
Mg1 Mg 0.000 0.000 0.000
Mg2 Mg 0.129 0.574 0.736
Mg3 Mg 0.281 0.522 0.439
Mg4 Mg 0.476 0.372 0.043
Mg5 Mg 0.610 0.904 0.775
Mg6 Mg 0.759 0.848 0.480
Si1 Si 0.012 0.664 0.973
Si2 Si 0.155 0.249 0.686
Si3 Si 0.245 0.120 0.510
Si4 Si 0.379 0.867 0.242
Si5 Si 0.585 0.247 0.827
Si6 Si 0.819 0.284 0.361
Si7 Si 0.891 0.108 0.215
Si8 Si 0.894 0.636 0.210